Record 1
The following is a DFT calculation (GGA+U) of a relaxed structure of Na3W2Cl4O4.

a = 8.3439 Å, b = 8.3439 Å, c = 5.6040 Å
α = 90.00°, β = 90.00°, γ = 140.17°
Sites, in units of the cell vectors:
Na (0.8549, 0.1451, 0.5000)
Na (0.1200, 0.8800, 0.5000)
Na (0.6142, 0.3858, 0.0000)
W (0.4995, 0.5005, 0.5000)
W (0.0001, 0.9999, 0.0000)
Cl (0.6641, 0.3359, 0.5000)
Cl (0.1619, 0.8381, 0.0000)
Cl (0.8450, 0.1550, 0.0000)
Cl (0.3426, 0.6574, 0.5000)
O (0.7606, 0.7467, 0.2453)
O (0.2533, 0.2394, 0.7547)
O (0.2533, 0.2394, 0.2453)
O (0.7606, 0.7467, 0.7547)

The crystal system is orthorhombic.

***

Record 2
The following is a DFT calculation (GGA+U) of a relaxed structure of NaWCl2O2.

a = 8.2160 Å, b = 8.2160 Å, c = 3.8857 Å
α = 90.00°, β = 90.00°, γ = 152.63°
Sites, in units of the cell vectors:
Na (0.7186, 0.2814, 0.5000)
W (0.9970, 0.0030, 0.0000)
Cl (0.1564, 0.8436, 0.0000)
Cl (0.8433, 0.1567, 0.0000)
O (0.4994, 0.5006, 0.0000)
O (0.9993, 0.0007, 0.5000)

The crystal system is orthorhombic.

***

Total DFT energy (no corrections) in eV per atom, matching the order above: -5.224 -5.355